[1]
Compound: MgGa6Co6
Source: Alexandria
Functional: GGA-PBE
Structure: relaxed

Summary:
The space group is Immm (71). The formation enthalpy at 0 K comes out at -20.0 kJ per mole of atoms.

Cell: 5.005 6.406 6.406 Å, 78.07 67.01 67.01°
Site moments in Bohr magnetons follow the coordinates.
Positions (direct):
Co: 0.500 0.242 0.758  0.68
Co: 0.500 0.000 0.500  0.56
Co: 0.500 0.758 0.242  0.68
Co: 0.500 0.500 0.000  0.56
Co: 0.000 0.500 0.000  0.56
Co: 0.000 0.000 0.500  0.56
Ga: 0.000 0.669 0.331  -0.04
Ga: 0.323 0.177 0.177  -0.02
Ga: 0.000 0.331 0.669  -0.04
Ga: 0.659 0.341 0.341  -0.02
Ga: 0.677 0.823 0.823  -0.02
Ga: 0.341 0.659 0.659  -0.02
Mg: 0.000 0.000 0.000  0.00



[2]
Compound: Mg6GaCo
Source: Alexandria
Functional: GGA-PBE
Structure: relaxed

Summary:
The space group is Amm2 (38). The formation enthalpy at 0 K comes out at 5.6 kJ per mole of atoms. Its energy above the most stable polymorph in this dataset is 0.000 eV/atom.

Cell: 6.027 6.027 4.840 Å, 90.00 90.00 119.88°
Site moments in Bohr magnetons follow the coordinates.
Positions (direct):
Ga: 0.325 0.675 0.500  -0.01
Mg: 0.168 0.343 0.000  0.00
Mg: 0.327 0.145 0.500  -0.01
Mg: 0.855 0.673 0.500  -0.01
Mg: 0.665 0.335 0.000  0.00
Mg: 0.657 0.832 0.000  0.00
Mg: 0.834 0.166 0.500  0.00
Co: 0.169 0.831 0.000  0.98



[3]
Compound: Mg2GaCo3
Source: Alexandria
Functional: GGA-PBE
Structure: relaxed

Summary:
The space group is P6_3/mmc (194). The formation enthalpy at 0 K comes out at -13.4 kJ per mole of atoms.

Cell: 4.937 4.937 7.925 Å, 90.00 90.00 120.00°
Site moments in Bohr magnetons follow the coordinates.
Positions (direct):
Mg: 0.667 0.333 0.432  -0.01
Mg: 0.333 0.667 0.932  -0.01
Mg: 0.667 0.333 0.068  -0.01
Mg: 0.333 0.667 0.568  -0.01
Co: 0.173 0.827 0.250  1.25
Co: 0.827 0.173 0.750  1.25
Co: 0.653 0.827 0.250  1.25
Co: 0.347 0.173 0.750  1.25
Co: 0.173 0.347 0.250  1.25
Co: 0.827 0.653 0.750  1.25
Ga: 0.000 0.000 0.500  -0.06
Ga: 0.000 0.000 0.000  -0.06



[4]
Compound: MgGaCo3
Source: Alexandria
Functional: GGA-PBE
Structure: relaxed

Summary:
The space group is Pm-3m (221). The formation enthalpy at 0 K comes out at 128.7 kJ per mole of atoms. Its energy above the most stable polymorph in this dataset is 0.589 eV/atom.

Cell: 4.330 4.330 4.330 Å, 90.00 90.00 90.00°
Site moments in Bohr magnetons follow the coordinates.
Positions (direct):
Co: 0.000 0.000 0.500  1.37
Co: 0.000 0.500 0.000  1.53
Co: 0.500 0.000 0.000  1.36
Mg: 0.000 0.000 0.000  -0.05
Ga: 0.500 0.500 0.500  -0.05



[5]
Compound: MgGa5Co4
Source: Alexandria
Functional: GGA-PBE
Structure: relaxed

Summary:
The space group is P4/mmm (123). The formation enthalpy at 0 K comes out at -21.3 kJ per mole of atoms.

Cell: 2.844 2.844 16.402 Å, 90.00 90.00 90.00°
Site moments in Bohr magnetons follow the coordinates.
Positions (direct):
Ga: 0.500 0.500 0.137  0.00
Ga: 0.500 0.500 0.320  -0.01
Ga: 0.500 0.500 0.863  0.00
Ga: 0.500 0.500 0.500  0.00
Ga: 0.500 0.500 0.680  -0.01
Co: 0.000 0.000 0.411  -0.03
Co: 0.000 0.000 0.231  0.29
Co: 0.000 0.000 0.589  -0.03
Co: 0.000 0.000 0.769  0.29
Mg: 0.000 0.000 0.000  0.01



[6]
Compound: Mg8Ga2Co
Source: Alexandria
Functional: GGA-PBE
Structure: relaxed

Summary:
The space group is C2/m (12). The formation enthalpy at 0 K comes out at -3.3 kJ per mole of atoms.

Cell: 4.568 6.707 8.064 Å, 112.67 106.45 90.00°
Positions (direct):
Mg: 0.185 0.255 0.370
Mg: 0.815 0.745 0.630
Mg: 0.020 0.797 0.040
Mg: 0.400 0.579 0.801
Mg: 0.600 0.421 0.199
Mg: 0.344 0.074 0.689
Mg: 0.980 0.203 0.960
Mg: 0.656 0.926 0.311
Ga: 0.818 0.322 0.637
Ga: 0.182 0.678 0.363
Co: 0.500 0.000 0.000